Record 1
Material: Tb2CeSm2Er2
Method: DFT, GGA-PBE
State: optimized geometry

## Properties
As for the formation energy from the elements: 0.148 eV/atom.

a = 8.9457 Å, b = 8.9457 Å, c = 8.3246 Å
α = 116.12°, β = 116.12°, γ = 22.42°
With the nearest neighbours (Å) after each atom.
Element x y z (fractional)
Tb: 0.0705 0.0705 0.3987  2 Sm 3.43-3.66, 3 Er 3.44-3.51, 2 Ce 3.45, 3 Tb 3.48-3.57
Tb: 0.9295 0.9295 0.6013  2 Sm 3.43-3.66, 3 Er 3.44-3.51, 2 Ce 3.45, 3 Tb 3.48-3.57
Ce: 0.5000 0.5000 0.0000  2 Er 3.41, 4 Tb 3.45, 2 Ce 3.48, 4 Sm 3.53
Sm: 0.1440 0.1440 0.8855  2 Tb 3.43-3.66, 3 Er 3.47-3.52, 4 Sm 3.48-3.76, 2 Ce 3.53
Sm: 0.8560 0.8560 0.1145  2 Tb 3.43-3.66, 3 Er 3.47-3.52, 4 Sm 3.48-3.76, 2 Ce 3.53
Er: 0.2882 0.2882 0.7051  1 Ce 3.41, 3 Tb 3.44-3.51, 3 Sm 3.47-3.52, 4 Er 3.48-3.52
Er: 0.7118 0.7118 0.2949  1 Ce 3.41, 3 Tb 3.44-3.51, 3 Sm 3.47-3.52, 4 Er 3.48-3.52

Record 2
Material: TbZnPdO4
Method: DFT, GGA-PBE
State: optimized geometry

## Properties
For the formation energy (no corrections), the calculation gives -1.675 eV per atom.

a = 6.3420 Å, b = 6.3420 Å, c = 6.3420 Å
α = 118.76°, β = 116.45°, γ = 94.21°
With the nearest neighbours (Å) after each atom.
Element x y z (fractional)
Tb: 0.0000 0.0000 0.0000  6 O 2.27-2.29
Tb: 0.5000 0.0000 0.5000  6 O 2.27-2.29
Zn: 0.3606 0.6106 0.7500  4 O 1.98-2.11
Zn: 0.6394 0.3894 0.2500  4 O 1.98-2.11
Pd: 0.0000 0.0000 0.5000  6 O 2.09-2.23
Pd: 0.0000 0.5000 0.0000  6 O 2.09-2.23
O: 0.2137 0.7353 0.4784  1 Zn 2.11, 2 Pd 2.23, 1 Tb 2.29
O: 0.2417 0.2292 0.4875  1 Zn 1.98, 1 Pd 2.09
O: 0.2417 0.7542 0.0125  1 Zn 1.98, 1 Pd 2.09
O: 0.2431 0.2647 0.9784  1 Zn 2.11, 2 Pd 2.23, 1 Tb 2.29
O: 0.7569 0.7353 0.0216  1 Zn 2.11, 2 Pd 2.23, 1 Tb 2.29
O: 0.7583 0.2458 0.9875  1 Zn 1.98, 1 Pd 2.09
O: 0.7583 0.7708 0.5125  1 Zn 1.98, 1 Pd 2.09
O: 0.7863 0.2647 0.5216  1 Zn 2.11, 2 Pd 2.23, 1 Tb 2.29

Record 3
Material: TcGe2Ru2
Method: DFT, GGA-PBE
State: optimized geometry

## Properties
As for the formation energy from the elements: 0.417 eV/atom.

a = 6.5634 Å, b = 6.5634 Å, c = 6.5634 Å
α = 147.84°, β = 147.84°, γ = 46.12°
With the nearest neighbours (Å) after each atom.
Element x y z (fractional)
Tc: 0.0000 0.0000 0.0000  8 Ru 2.86
Ge: 0.2500 0.7500 0.5000  4 Ru 2.53, 4 Ge 2.57
Ge: 0.7500 0.2500 0.5000  4 Ru 2.53, 4 Ge 2.57
Ru: 0.3960 0.3960 0.0000  1 Ru 2.51, 4 Ge 2.53
Ru: 0.6040 0.6040 0.0000  1 Ru 2.51, 4 Ge 2.53

Record 4
Material: CeHoSnTe
Method: DFT, GGA-PBE
State: optimized geometry

## Properties
For the formation energy (no corrections), the calculation gives -0.990 eV per atom.

a = 7.6912 Å, b = 7.6912 Å, c = 7.6912 Å
α = 33.59°, β = 33.59°, γ = 33.59°
With the nearest neighbours (Å) after each atom.
Element x y z (fractional)
Ce: 0.0000 0.0000 0.0000  3 Sn 3.13, 3 Te 3.22
Ho: 0.5066 0.5066 0.5066  3 Sn 3.07, 3 Te 3.14
Sn: 0.2511 0.2511 0.2511  3 Ho 3.07, 3 Ce 3.13
Te: 0.7564 0.7564 0.7564  3 Ho 3.14, 3 Ce 3.22

Record 5
Material: TlW
Method: DFT, GGA-PBE
State: optimized geometry

## Properties
As for the formation energy from the elements: 1.083 eV/atom.

a = 3.0431 Å, b = 3.0431 Å, c = 4.8144 Å
α = 90.00°, β = 90.00°, γ = 120.00°
With the nearest neighbours (Å) after each atom.
Element x y z (fractional)
Tl: 0.0000 0.0000 0.0000  6 W 2.98, 6 Tl 3.04
W: 0.6667 0.3333 0.5000  6 Tl 2.98, 6 W 3.04

Record 6
Material: Ac3Cd4Hg2
Method: DFT, GGA-PBE
State: optimized geometry

## Properties
As for the formation energy from the elements: -0.388 eV/atom.

a = 6.4361 Å, b = 6.4361 Å, c = 9.7100 Å
α = 113.60°, β = 113.60°, γ = 47.45°
With the nearest neighbours (Å) after each atom.
Element x y z (fractional)
Ac: 0.0000 0.0000 0.0000  8 Cd 3.49-3.59, 4 Hg 3.52, 2 Ac 3.83
Ac: 0.3294 0.3294 0.3374  8 Cd 3.52-3.60, 4 Hg 3.52-3.58, 2 Ac 3.83-3.88
Ac: 0.6706 0.6706 0.6626  8 Cd 3.52-3.60, 4 Hg 3.52-3.58, 2 Ac 3.83-3.88
Cd: 0.0441 0.0441 0.3801  1 Cd 2.94, 2 Hg 3.00
Cd: 0.2720 0.2720 0.9419  2 Cd 2.96, 1 Hg 3.00
Cd: 0.7280 0.7280 0.0581  2 Cd 2.96, 1 Hg 3.00
Cd: 0.9559 0.9559 0.6199  1 Cd 2.94, 2 Hg 3.00
Hg: 0.3941 0.3941 0.7274  3 Cd 3.00
Hg: 0.6059 0.6059 0.2726  3 Cd 3.00

Record 7
Material: Sm2AlGaPt6
Method: DFT, GGA-PBE
State: optimized geometry

## Properties
As for the formation energy from the elements: -0.874 eV/atom.

a = 8.3906 Å, b = 8.3906 Å, c = 8.3906 Å
α = 39.29°, β = 39.29°, γ = 39.29°
With the nearest neighbours (Å) after each atom.
Element x y z (fractional)
Sm: 0.2041 0.2041 0.2041  9 Pt 3.00-3.21
Sm: 0.7959 0.7959 0.7959  9 Pt 3.00-3.21
Al: 0.5000 0.5000 0.5000  6 Pt 2.50
Ga: 0.0000 0.0000 0.0000  6 Pt 2.56
Pt: 0.2483 0.7482 0.7482  1 Al 2.50, 1 Ga 2.56
Pt: 0.2518 0.2518 0.7517  1 Al 2.50, 1 Ga 2.56
Pt: 0.2518 0.7517 0.2518  1 Al 2.50, 1 Ga 2.56
Pt: 0.7482 0.2483 0.7482  1 Al 2.50, 1 Ga 2.56
Pt: 0.7482 0.7482 0.2483  1 Al 2.50, 1 Ga 2.56
Pt: 0.7517 0.2518 0.2518  1 Al 2.50, 1 Ga 2.56

Record 8
Material: BaIn2SnPb
Method: DFT, GGA-PBE
State: optimized geometry

## Properties
As for the formation energy from the elements: -0.304 eV/atom.

a = 6.8422 Å, b = 6.8422 Å, c = 6.8422 Å
α = 133.57°, β = 132.80°, γ = 68.37°
With the nearest neighbours (Å) after each atom.
Element x y z (fractional)
Ba: 0.0000 0.0000 0.0000  9 In 3.89-4.16, 4 Pb 3.91-3.93, 5 Sn 4.08-4.29
In: 0.6330 0.6330 0.0000  1 Sn 2.87, 2 In 3.02, 2 Pb 3.05
In: 0.7529 0.2529 0.5000  2 In 3.02, 2 Sn 3.09
Sn: 0.3793 0.3793 0.0000  3 In 2.87-3.09, 2 Pb 3.07
Pb: 0.2505 0.7505 0.5000  2 In 3.05, 2 Sn 3.07

What did the sixth record say?
Material: Ac3Cd4Hg2
Method: DFT, GGA-PBE
State: optimized geometry

## Properties
As for the formation energy from the elements: -0.388 eV/atom.

a = 6.4361 Å, b = 6.4361 Å, c = 9.7100 Å
α = 113.60°, β = 113.60°, γ = 47.45°
With the nearest neighbours (Å) after each atom.
Element x y z (fractional)
Ac: 0.0000 0.0000 0.0000  8 Cd 3.49-3.59, 4 Hg 3.52, 2 Ac 3.83
Ac: 0.3294 0.3294 0.3374  8 Cd 3.52-3.60, 4 Hg 3.52-3.58, 2 Ac 3.83-3.88
Ac: 0.6706 0.6706 0.6626  8 Cd 3.52-3.60, 4 Hg 3.52-3.58, 2 Ac 3.83-3.88
Cd: 0.0441 0.0441 0.3801  1 Cd 2.94, 2 Hg 3.00
Cd: 0.2720 0.2720 0.9419  2 Cd 2.96, 1 Hg 3.00
Cd: 0.7280 0.7280 0.0581  2 Cd 2.96, 1 Hg 3.00
Cd: 0.9559 0.9559 0.6199  1 Cd 2.94, 2 Hg 3.00
Hg: 0.3941 0.3941 0.7274  3 Cd 3.00
Hg: 0.6059 0.6059 0.2726  3 Cd 3.00